Computed, not measured: a relaxed Sc2ICl2 crystal at the PBEsol level of DFT.

Computed properties:
ρ in g/cm³: 4.3
DOS at the Fermi energy in states/eV/cell: 4.11
ΔE_f (raw) in eV/atom: -1.19

```
data_Sc2ICl2
_chemical_formula_sum 'Sc2 I1 Cl2'
_cell_length_a 5.979
_cell_length_b 5.979
_cell_length_c 5.979
_cell_angle_alpha 133.52
_cell_angle_beta 133.52
_cell_angle_gamma 67.84
_symmetry_space_group_name_H-M 'P 1'
_symmetry_Int_Tables_number 1
loop_
_symmetry_equiv_pos_as_xyz
'x,y,z'
loop_
_atom_site_label
_atom_site_fract_x
_atom_site_fract_y
_atom_site_fract_z
_atom_site_occupancy
Sc1 0.250 0.750 0.500 1
Sc2 0.750 0.250 0.500 1
I1 0.000 0.000 0.000 1
Cl1 0.345 0.345 0.000 1
Cl2 0.655 0.655 0.000 1
```